[1]
Ac4Ce3PrP8 | Alexandria via LeMat-Bulk | PBE | relaxed; uncorrected energy = -105.688 eV/cell; energy of formation from the pure elements = -33.72 kcal/mol of atoms; size of the total moment = 1.76 μB/f.u.; SG = R-3m (166); density of states at the Fermi level = 16.0 states/eV per cell
1.0
4.2776 2.4696 7.0152
-4.2776 2.4696 7.0152
0.0000 -4.9393 7.0152
Ac Ce Pr P
4 3 1 8
Direct
0.0000 0.0000 0.0000
0.0000 0.5000 0.5000
0.5000 0.0000 0.5000
0.5000 0.5000 0.0000
0.0000 0.0000 0.5000
0.0000 0.5000 0.0000
0.5000 0.0000 0.0000
0.5000 0.5000 0.5000
0.2388 0.7458 0.7458
0.2426 0.2426 0.2426
0.2542 0.2542 0.7612
0.2542 0.7612 0.2542
0.7458 0.2388 0.7458
0.7458 0.7458 0.2388
0.7574 0.7574 0.7574
0.7612 0.2542 0.2542

[2]
SiNi4P | Alexandria via LeMat-Bulk | PBE | relaxed; uncorrected energy = -32.833 eV/cell; relative energy among the computed polymorphs = 4.19 eV per formula unit; formation energy without anion corrections = 0.188 eV/atom; size of the total moment = 0.81 μB/f.u.; SG = F-43m (216); density of states at the Fermi level = 5.8 states/eV per cell
1.0
0.0000 3.3037 3.3037
3.3037 0.0000 3.3037
3.3037 3.3037 0.0000
Si Ni P
1 4 1
Direct
0.0000 0.0000 0.0000
0.1248 0.6251 0.6251
0.6251 0.1248 0.6251
0.6251 0.6251 0.1248
0.6251 0.6251 0.6251
0.2500 0.2500 0.2500

[3]
CaZrN3 | Alexandria via LeMat-Bulk | PBE | relaxed; uncorrected energy = -36.389 eV/cell; formation energy without anion corrections = -0.173 eV/atom; size of the total moment = 2.50 μB/f.u.; SG = Pm-3m (221); density of states at the Fermi level = 2.9 states/eV per cell
1.0
4.2319 0.0000 0.0000
0.0000 4.2319 0.0000
0.0000 0.0000 4.2319
Ca Zr N
1 1 3
Direct
0.0000 0.0000 0.0000
0.5000 0.5000 0.5000
0.0000 0.5000 0.5000
0.5000 0.0000 0.5000
0.5000 0.5000 0.0000

[4]
HgTe2P | Alexandria via LeMat-Bulk | PBE | relaxed; uncorrected energy = -10.802 eV/cell; relative energy among the computed polymorphs = 0.69 eV per formula unit; formation energy without anion corrections = 0.298 eV/atom; size of the total moment = 0.00 μB/f.u.; SG = Imm2 (44); density of states at the Fermi level = 2.0 states/eV per cell
1.0
-1.7127 2.4688 7.1368
1.7127 -2.4688 7.1368
1.7127 2.4688 -7.1368
Hg Te P
1 2 1
Direct
0.0000 0.0000 0.0000
0.3805 0.8805 0.5000
0.6404 0.6404 0.0000
0.7658 0.2658 0.5000

[5]
SmMgPt2 | Alexandria via LeMat-Bulk | PBE | relaxed; uncorrected energy = -22.239 eV/cell; energy of formation from the pure elements = -22.16 kcal/mol of atoms; size of the total moment = 0.00 μB/f.u.; SG = P4/mmm (123); density of states at the Fermi level = 1.1 states/eV per cell
1.0
3.4107 0.0000 0.0000
0.0000 3.4107 0.0000
0.0000 0.0000 6.6794
Sm Mg Pt
1 1 2
Direct
0.0000 0.0000 0.0000
0.0000 0.0000 0.5000
0.5000 0.5000 0.2791
0.5000 0.5000 0.7209

[6]
KSrPb2 | Alexandria via LeMat-Bulk | PBE | relaxed; uncorrected energy = -10.946 eV/cell; relative energy among the computed polymorphs = 0.50 eV per formula unit; energy of formation from the pure elements = -4.32 kcal/mol of atoms; size of the total moment = 0.00 μB/f.u.; SG = F-43m (216); density of states at the Fermi level = 0.9 states/eV per cell
1.0
0.0000 4.1663 4.1663
4.1663 0.0000 4.1663
4.1663 4.1663 0.0000
K Sr Pb
1 1 2
Direct
0.0000 0.0000 0.0000
0.2500 0.2500 0.2500
0.5000 0.5000 0.5000
0.7500 0.7500 0.7500

[7]
TcNiIr2 | Alexandria via LeMat-Bulk | PBE | relaxed; uncorrected energy = -34.031 eV/cell; relative energy among the computed polymorphs = 0.32 eV per formula unit; energy of formation from the pure elements = -0.93 kcal/mol of atoms; size of the total moment = 0.00 μB/f.u.; SG = R-3m (166); density of states at the Fermi level = 4.6 states/eV per cell
1.0
1.3623 0.7865 8.6035
-1.3623 0.7865 8.6035
0.0000 -1.5731 8.6035
Tc Ni Ir
1 1 2
Direct
0.0000 0.0000 0.0000
0.5000 0.5000 0.5000
0.2490 0.2490 0.2490
0.7510 0.7510 0.7510

[8]
LiHgHRh2 | Alexandria via LeMat-Bulk | PBE | relaxed; uncorrected energy = -20.966 eV/cell; relative energy among the computed polymorphs = 0.00 eV per formula unit; size of the total moment = 0.25 μB/f.u.; SG = P4/mmm (123); density of states at the Fermi level = 5.7 states/eV per cell
1.0
3.9197 0.0000 0.0000
0.0000 3.9197 0.0000
0.0000 0.0000 4.1363
Li Hg H Rh
1 1 1 2
Direct
0.0000 0.0000 0.0000
0.5000 0.5000 0.0000
0.0000 0.0000 0.5000
0.0000 0.5000 0.5000
0.5000 0.0000 0.5000

[9]
MnCr2P | Alexandria via LeMat-Bulk | PBE | relaxed; uncorrected energy = -34.154 eV/cell; energy of formation from the pure elements = -1.89 kcal/mol of atoms; size of the total moment = 0.00 μB/f.u.; SG = Pmm2 (25); density of states at the Fermi level = 3.9 states/eV per cell
1.0
2.7035 0.0000 0.0000
0.0000 3.6264 0.0000
0.0000 0.0000 4.6336
Mn Cr P
1 2 1
Direct
0.0000 0.0000 0.0000
0.0000 0.0000 0.4696
0.5000 0.5000 0.7282
0.5000 0.5000 0.2262